# PBE Ca2NiHSe, relaxed
# electronic total energy	-4.069	eV per atom
data_Ca2NiHSe
_cell_length_a 4.9815
_cell_length_b 4.9815
_cell_length_c 3.5959
_cell_angle_alpha 90.00
_cell_angle_beta 90.00
_cell_angle_gamma 90.00
_symmetry_space_group_name_H-M 'P 4/m m m'
_symmetry_Int_Tables_number 123
_symmetry_space_group_name_Hall '-P 4 2'
loop_
_atom_site_label
_atom_site_fract_x
_atom_site_fract_y
_atom_site_fract_z
Ca1 0.0000 0.5000 0.0000
Ni1 0.0000 0.0000 0.5000
H1 0.0000 0.0000 0.0000
Se1 0.5000 0.5000 0.5000